<1>
A geometry-optimized PrY2Hg structure, computed with GGA-PBE.

Properties
Total moment   0.51 μB per formula unit
SG   P4/mmm, No. 123

```
PrY2Hg
1.0
4.901 0.000 0.000
0.000 4.901 0.000
0.000 0.000 4.850
Pr Y Hg
1 2 1
Cartesian
0.000 0.000 0.000 Pr
0.000 2.451 2.425 Y
2.451 0.000 2.425 Y
2.451 2.451 0.000 Hg
```

<2>
A geometry-optimized PrY2Hg structure, computed with GGA-PBE.

Properties
Total moment   0.00 μB per formula unit
SG   Cmcm, No. 63

```
PrY2Hg
1.0
2.573 -6.239 0.000
2.573 6.239 0.000
0.000 0.000 7.757
Pr Y Hg
2 4 2
Cartesian
2.573 5.565 5.818 Pr
2.573 -5.565 1.939 Pr
2.573 1.747 4.122 Y
2.573 1.747 7.514 Y
2.573 -1.747 0.244 Y
2.573 -1.747 3.635 Y
2.573 3.735 1.939 Hg
2.573 -3.735 5.818 Hg
```

It turns out <2> is the most stable, with the second structure 37 meV per atom higher.